Computed, not measured: a relaxed Sr3Zn crystal at the GGA-PBEsol level of DFT.

Computed properties:
D(E_F)   19.3 states/eV per cell
Energy of formation from the pure elements   -0.059 eV per atom
Crystal system   orthorhombic
Space group   No. 62

Cell: 8.327 10.815 7.268 Å, 90.00 90.00 90.00°
Element x y z (fractional)
Sr: 0.036 0.250 0.144
Sr: 0.177 0.065 0.663
Sr: 0.177 0.435 0.663
Sr: 0.323 0.565 0.163
Sr: 0.323 0.935 0.163
Sr: 0.464 0.750 0.644
Sr: 0.536 0.250 0.356
Sr: 0.677 0.065 0.837
Sr: 0.677 0.435 0.837
Sr: 0.823 0.565 0.337
Sr: 0.823 0.935 0.337
Sr: 0.964 0.750 0.856
Zn: 0.121 0.750 0.445
Zn: 0.379 0.250 0.945
Zn: 0.621 0.750 0.055
Zn: 0.879 0.250 0.555